No. 1
The following is a PBE-GGA calculation of crystalline Ca3TcC at its relaxed geometry, from the Alexandria database.

Lattice parameters (Å, degrees): 5.006 5.006 5.006 90.00 90.00 90.00
Fractional positions:
Ca1 0.000 0.000 0.500
Ca2 0.500 0.000 0.000
C1 0.000 0.000 0.000
Tc1 0.500 0.500 0.500
Ca3 0.000 0.500 0.000

Results
Spin magnetization (μB/atom): 0.613
ΔE_f (eV per atom): 0.763
Excess energy over the best structure of this formula in the dataset (meV/atom): 0

---

No. 2
The following is a PBE-GGA calculation of crystalline Pa2Co5Si3 at its relaxed geometry, from the Alexandria database.

Lattice parameters (Å, degrees): 3.893 6.329 11.946 90.00 99.38 90.00
Fractional positions:
Si1 0.064 0.981 0.129
Si2 0.775 0.728 0.549
Pa1 0.177 0.749 0.355
Si3 0.225 0.228 0.451
Co1 0.713 0.023 0.426
Co2 0.289 0.932 0.579
Co3 0.711 0.432 0.421
Co4 0.287 0.523 0.574
Co5 0.401 0.351 0.803
Si4 0.936 0.481 0.871
Si5 0.614 0.484 0.228
Co6 0.871 0.772 0.742
Si6 0.386 0.984 0.772
Co7 0.599 0.851 0.197
Pa2 0.823 0.249 0.645
Co8 0.129 0.272 0.258
Co9 0.942 0.095 0.884
Pa3 0.511 0.250 0.022
Co10 0.058 0.595 0.116
Pa4 0.489 0.750 0.978

Results
Spin magnetization (μB/atom): 0.000
E_form (uncorrected) (eV per atom): -0.52
Excess energy over the best structure of this formula in the dataset (meV/atom): 105

---

No. 3
The following is a PBE-GGA calculation of crystalline TbDy2Ag at its relaxed geometry, from the Alexandria database.

Lattice parameters (Å, degrees): 3.549 3.549 10.684 80.44 80.44 60.00
Fractional positions:
Dy1 0.258 0.258 0.225
Ag1 0.000 0.000 0.000
Tb1 0.500 0.500 0.500
Dy2 0.742 0.742 0.775

Results
Spin magnetization (μB/atom): 0.000
ΔE_f (eV per atom): -0.021
Excess energy over the best structure of this formula in the dataset (meV/atom): 110

---

No. 4
The following is a PBE-GGA calculation of crystalline TbGdBeIr at its relaxed geometry, from the Alexandria database.

Lattice parameters (Å, degrees): 4.882 4.882 4.882 60.00 60.00 60.00
Fractional positions:
Be1 0.250 0.250 0.250
Ir1 0.750 0.750 0.750
Tb1 0.000 0.000 0.000
Gd1 0.500 0.500 0.500

Results
Spin magnetization (μB/atom): 1.753
ΔE_f (eV per atom): -0.361